Below is crystalline HfCoTeO6 at its relaxed geometry, with properties calculated at the PBE+U level.

a b c (Å): 5.3053 5.3053 8.9989
angles (deg): 90.00 90.00 120.00
Element x y z (fractional)
Hf  0.3333  0.6667  0.2500
Hf  0.6667  0.3333  0.7500
Co  0.0000  0.0000  0.0000
Co  0.0000  0.0000  0.5000
Te  0.3333  0.6667  0.7500
Te  0.6667  0.3333  0.2500
O  0.0193  0.3604  0.6316
O  0.0193  0.6590  0.8684
O  0.3410  0.3604  0.8684
O  0.3410  0.9807  0.6316
O  0.3604  0.0193  0.1316
O  0.3604  0.3410  0.3684
O  0.6396  0.6590  0.6316
O  0.6396  0.9807  0.8684
O  0.6590  0.0193  0.3684
O  0.6590  0.6396  0.1316
O  0.9807  0.3410  0.1316
O  0.9807  0.6396  0.3684

Computed properties:
The calculation puts the energy at -7.08 eV/atom. The value obtained for the size of the total moment is 3.05 μB per formula unit.